[1]
Below is a relaxed structure of Li2TmAg2, with properties calculated at the GGA-PBE level.

Output
Size of the total moment = 0.00 μB per formula unit
Mass density = 6.54 Mg/m³
Crystal system = monoclinic
Energy of formation from the pure elements = -15.79 kJ/mol of atoms
Uncorrected energy = -2.964 eV per atom

Unit cell a=9.573 b=6.241 c=7.428 alpha=90.00 beta=114.13 gamma=90.00
Space group C2/c (No. 15)
One atom of each set of equivalent atoms:
Li 0.121 0.092 0.447
Tm 0.000 0.423 0.750
Ag 0.197 0.274 0.161

=====

[2]
Below is a relaxed structure of Li3TmAg2, with properties calculated at the GGA-PBE level.

Output
Size of the total moment = 0.00 μB per formula unit
Mass density = 5.90 Mg/m³
Crystal system = monoclinic
Energy of formation from the pure elements = -16.12 kJ/mol of atoms
Uncorrected energy = -2.820 eV per atom

Unit cell a=14.532 b=4.088 c=9.213 alpha=90.00 beta=123.53 gamma=90.00
Space group C2/m (No. 12)
One atom of each set of equivalent atoms:
Li 0.069 0.000 0.416
Li 0.074 0.500 0.686
Li 0.236 0.500 0.586
Tm 0.123 0.000 0.997
Ag 0.076 0.500 0.204
Ag 0.209 0.000 0.763

=====

Question: Which formula does entry 2 have?
Answer: Li3TmAg2

=====

Question: The highest energy of formation from the pure elements belongs to which entry?
Answer: Li2TmAg2

=====

Question: The highest energy of formation from the pure elements belongs to which entry?
Answer: Li2TmAg2

=====

Repeat the first record exactly.
Below is a relaxed structure of Li2TmAg2, with properties calculated at the GGA-PBE level.

Output
Size of the total moment = 0.00 μB per formula unit
Mass density = 6.54 Mg/m³
Crystal system = monoclinic
Energy of formation from the pure elements = -15.79 kJ/mol of atoms
Uncorrected energy = -2.964 eV per atom

Unit cell a=9.573 b=6.241 c=7.428 alpha=90.00 beta=114.13 gamma=90.00
Space group C2/c (No. 15)
One atom of each set of equivalent atoms:
Li 0.121 0.092 0.447
Tm 0.000 0.423 0.750
Ag 0.197 0.274 0.161